No. 1
This record from Alexandria describes Ce3Pu2ThP6 after structural relaxation. The functional is PBE.

Total moment: 12.20 μB/f.u.
E_form: -1.4039 eV/atom
DFT total energy: -0.6320 Ry/atom
DOS at the Fermi energy: 2.125 states/eV per atom

Lattice parameters (Å, degrees): 7.0556 12.2229 7.0622 90.00 109.47 90.00
Closest atoms and distances in Å follow each position.
Space group C2/m (No. 12)
One atom of each set of equivalent atoms:
Ce: 0.0000 0.0000 0.0000 x2  6 P 2.86-2.91
Ce: 0.0000 0.3343 0.0000 x4  6 P 2.87-2.91
Pu: 0.0000 0.1669 0.5000 x4  6 P 2.85-2.86
Th: 0.0000 0.5000 0.5000 x2  6 P 2.90
P: 0.2435 0.0000 0.7466 x4  2 Pu 2.85, 3 Ce 2.86-2.90, 1 Th 2.90
P: 0.2481 0.1693 0.2526 x8  2 Pu 2.86, 3 Ce 2.87-2.91, 1 Th 2.90

=====

No. 2
This record from Alexandria describes TaSnBiRu after structural relaxation. The functional is PBE.

Total moment: 0.00 μB/f.u.
Energy above the most stable polymorph in this dataset: 0.0 meV/atom
E_form: -0.0440 eV/atom
DFT total energy: -0.5363 Ry/atom
DOS at the Fermi energy: 0.400 states/eV per atom

Lattice parameters (Å, degrees): 3.1671 3.1681 8.8262 90.00 90.06 90.00
Closest atoms and distances in Å follow each position.
Space group Pm (No. 6)
One atom of each set of equivalent atoms:
Ta: 0.0000 0.0000 0.0000 x1  4 Ru 2.68
Sn: 0.9992 0.0000 0.6194 x1  4 Ru 2.93, 4 Sn 3.17
Bi: 0.5019 0.5000 0.2576 x1  4 Bi 3.17, 4 Ta 3.19
Ru: 0.4995 0.5000 0.8334 x1  4 Ta 2.68, 4 Sn 2.93

=====

No. 3
This record from Alexandria describes K2CdTeH after structural relaxation. The functional is PBE.

Total moment: 0.00 μB/f.u.
Energy above the most stable polymorph in this dataset: 0.0 meV/atom
DFT total energy: -0.1708 Ry/atom
DOS at the Fermi energy: 0.210 states/eV per atom

Lattice parameters (Å, degrees): 5.4561 5.4561 4.5965 90.00 90.00 90.00
Closest atoms and distances in Å follow each position.
Space group P4/mmm (No. 123)
One atom of each set of equivalent atoms:
K: 0.0000 0.5000 0.0000 x2  2 H 2.73
Cd: 0.0000 0.0000 0.5000 x1  2 H 2.30
Te: 0.5000 0.5000 0.5000 x1  8 K 3.57, 4 Cd 3.86
H: 0.0000 0.0000 0.0000 x1  2 Cd 2.30

=====

No. 4
This record from Alexandria describes LiPuPdRh after structural relaxation. The functional is PBE.

Total moment: 4.97 μB/f.u.
Energy above the most stable polymorph in this dataset: 2.0 meV/atom
E_form: -0.3677 eV/atom
DFT total energy: -0.5560 Ry/atom
DOS at the Fermi energy: 1.787 states/eV per atom

Lattice parameters (Å, degrees): 6.5414 6.5414 6.5414 90.00 90.00 90.00
Closest atoms and distances in Å follow each position.
Space group F-43m (No. 216)
One atom of each set of equivalent atoms:
Li: 0.0000 0.0000 0.0000 x4  4 Pd 2.83, 4 Rh 2.83
Pu: 0.0000 0.0000 0.5000 x4  4 Rh 2.83, 4 Pd 2.83
Pd: 0.2500 0.2500 0.7500 x4  4 Li 2.83, 4 Pu 2.83
Rh: 0.2500 0.2500 0.2500 x4  4 Li 2.83, 4 Pu 2.83